Material: HoNi4Sn12
Method: DFT, GGA-PBE
State: relaxed

## Properties
Its density is 7687 kg/m3. As for the formation energy from the elements: -184 meV/atom. The value obtained for the total energy is -4.639 eV/atom.

Geometry as CIF:
```
data_HoNi4Sn12
_cell_length_a 9.237
_cell_length_b 9.237
_cell_length_c 9.237
_cell_angle_alpha 90.00
_cell_angle_beta 90.00
_cell_angle_gamma 90.00
_space_group_name_H-M_alt 'I m -3'
_space_group_IT_number 204
_space_group_name_Hall '-I 2 2 3'
loop_
_atom_site_label
_atom_site_fract_x
_atom_site_fract_y
_atom_site_fract_z
Ho1 0.000 0.000 0.000
Ni1 0.250 0.250 0.250
Sn1 0.000 0.334 0.166
```


Material: HoNi6Sn2
Method: DFT, GGA-PBE
State: relaxed

## Properties
Its density is 8830 kg/m3. As for the formation energy from the elements: -94 meV/atom. The value obtained for the total energy is -5.346 eV/atom.

Geometry as CIF:
```
data_HoNi6Sn2
_cell_length_a 3.532
_cell_length_b 6.395
_cell_length_c 12.564
_cell_angle_alpha 90.00
_cell_angle_beta 90.00
_cell_angle_gamma 90.00
_space_group_name_H-M_alt 'I m m m'
_space_group_IT_number 71
_space_group_name_Hall '-I 2 2'
loop_
_atom_site_label
_atom_site_fract_x
_atom_site_fract_y
_atom_site_fract_z
Ho1 0.000 0.000 0.000
Ni1 0.000 0.179 0.500
Ni2 0.000 0.307 0.320
Sn1 0.000 0.500 0.138
```


Material: Ho7Ni2Sn2
Method: DFT, GGA-PBE
State: relaxed

## Properties
Its density is 8314 kg/m3. As for the formation energy from the elements: -317 meV/atom. The value obtained for the total energy is -5.010 eV/atom.

Geometry as CIF:
```
data_Ho7Ni2Sn2
_cell_length_a 7.945
_cell_length_b 10.959
_cell_length_c 6.924
_cell_angle_alpha 90.00
_cell_angle_beta 90.00
_cell_angle_gamma 90.00
_space_group_name_H-M_alt 'C m m m'
_space_group_IT_number 65
_space_group_name_Hall '-C 2 2'
loop_
_atom_site_label
_atom_site_fract_x
_atom_site_fract_y
_atom_site_fract_z
Ho1 0.000 0.000 0.000
Ho2 0.000 0.500 0.232
Ho3 0.250 0.250 0.244
Ni1 0.000 0.290 0.000
Sn1 0.182 0.000 0.500
```


Material: Ho6NiSn
Method: DFT, GGA-PBE
State: relaxed

## Properties
Its density is 7729 kg/m3. As for the formation energy from the elements: -61 meV/atom. The value obtained for the total energy is -4.717 eV/atom.

Geometry as CIF:
```
data_Ho6NiSn
_cell_length_a 6.749
_cell_length_b 6.759
_cell_length_c 7.438
_cell_angle_alpha 90.11
_cell_angle_beta 116.86
_cell_angle_gamma 119.93
_space_group_name_H-M_alt 'P -1'
_space_group_IT_number 2
loop_
_space_group_symop_operation_xyz
'x,y,z'
'-x,-y,-z'
loop_
_atom_site_label
_atom_site_fract_x
_atom_site_fract_y
_atom_site_fract_z
Ho1 0.047 0.084 0.261
Ho2 0.297 0.713 0.261
Ho3 0.322 0.536 0.740
Ni1 0.500 0.500 0.500
Sn1 0.500 0.000 0.000
```


- total energy of number 4 (Ho6NiSn)?
  -4.717 eV/atom


- Which of these has the lowest formation energy from the elements?
  Ho7Ni2Sn2


- Look up the formation energy from the elements of the second one.
  -94 meV/atom